(1)
The following is a DFT calculation (GGA-PBE) of a relaxed structure of Li4ZnGaPd2. Values from VASP.

Quantum ESPRESSO input file:
```
&SYSTEM
  ibrav = 0, nat = 8, ntyp = 4
/
ATOMIC_SPECIES
Li 6.94 Li.upf
Zn 65.41 Zn.upf
Ga 69.72 Ga.upf
Pd 106.42 Pd.upf
CELL_PARAMETERS angstrom
4.295 0.000 0.000
0.000 4.295 0.000
0.000 0.000 6.065
ATOMIC_POSITIONS crystal
Li 0.000 0.000 0.000
Li 0.000 0.500 0.249
Li 0.500 0.000 0.751
Li 0.500 0.500 0.500
Zn 0.500 0.500 0.000
Ga 0.000 0.000 0.500
Pd 0.000 0.500 0.745
Pd 0.500 0.000 0.255
```

Uncorrected energy in eV/atom: -3.278
SG: No. 115


(2)
The following is a DFT calculation (GGA-PBE) of a relaxed structure of ErAlGe. Values from VASP.

Quantum ESPRESSO input file:
```
&SYSTEM
  ibrav = 0, nat = 6, ntyp = 3
/
ATOMIC_SPECIES
Er 167.26 Er.upf
Al 26.98 Al.upf
Ge 72.64 Ge.upf
CELL_PARAMETERS angstrom
2.022 -5.173 0.000
2.022 5.173 0.000
0.000 0.000 5.733
ATOMIC_POSITIONS crystal
Er 0.190 0.810 0.750
Er 0.810 0.190 0.250
Al 0.500 0.500 0.000
Al 0.500 0.500 0.500
Ge 0.106 0.894 0.250
Ge 0.894 0.106 0.750
```

Uncorrected energy in eV/atom: -4.950
SG: No. 63


(3)
The following is a DFT calculation (GGA-PBE) of a relaxed structure of Ni2Pt. Values from VASP.

Quantum ESPRESSO input file:
```
&SYSTEM
  ibrav = 0, nat = 12, ntyp = 2
/
ATOMIC_SPECIES
Ni 58.69 Ni.upf
Pt 195.08 Pt.upf
CELL_PARAMETERS angstrom
5.202 0.000 0.000
0.000 3.720 0.000
0.000 0.000 7.803
ATOMIC_POSITIONS crystal
Ni 0.119 0.250 0.249
Ni 0.125 0.250 0.920
Ni 0.375 0.750 0.420
Ni 0.381 0.750 0.749
Ni 0.619 0.250 0.251
Ni 0.625 0.250 0.580
Ni 0.875 0.750 0.080
Ni 0.881 0.750 0.751
Pt 0.135 0.250 0.590
Pt 0.365 0.750 0.090
Pt 0.635 0.250 0.910
Pt 0.865 0.750 0.410
```

Uncorrected energy in eV/atom: -5.809
E_form in eV per atom: -0.079
SG: No. 62


(4)
The following is a DFT calculation (GGA-PBE) of a relaxed structure of Li2FeH4. Values from VASP.

Quantum ESPRESSO input file:
```
&SYSTEM
  ibrav = 0, nat = 7, ntyp = 3
/
ATOMIC_SPECIES
Li 6.94 Li.upf
Fe 55.84 Fe.upf
H 1.01 H.upf
CELL_PARAMETERS angstrom
-1.590 1.590 4.834
1.590 -1.590 4.834
1.590 1.590 -4.834
ATOMIC_POSITIONS crystal
Li 0.144 0.144 0.000
Li 0.856 0.856 0.000
Fe 0.500 0.500 0.000
H 0.000 0.500 0.500
H 0.335 0.335 0.000
H 0.500 0.000 0.500
H 0.665 0.665 0.000
```

Uncorrected energy in eV/atom: -3.880
SG: No. 139


(5)
The following is a DFT calculation (GGA-PBE) of a relaxed structure of Li2SiMo. Values from VASP.

Quantum ESPRESSO input file:
```
&SYSTEM
  ibrav = 0, nat = 4, ntyp = 3
/
ATOMIC_SPECIES
Li 6.94 Li.upf
Si 28.09 Si.upf
Mo 95.94 Mo.upf
CELL_PARAMETERS angstrom
0.000 2.980 2.980
2.980 0.000 2.980
2.980 2.980 0.000
ATOMIC_POSITIONS crystal
Li 0.000 0.000 0.000
Li 0.250 0.250 0.250
Si 0.500 0.500 0.500
Mo 0.750 0.750 0.750
```

Uncorrected energy in eV/atom: -4.954
SG: No. 216


(6)
The following is a DFT calculation (GGA-PBE) of a relaxed structure of Cd2Ag2SF6. Values from VASP.

Quantum ESPRESSO input file:
```
&SYSTEM
  ibrav = 0, nat = 22, ntyp = 4
/
ATOMIC_SPECIES
Cd 112.41 Cd.upf
Ag 107.87 Ag.upf
S 32.06 S.upf
F 19.00 F.upf
CELL_PARAMETERS angstrom
0.000 5.495 5.495
5.495 0.000 5.495
5.495 5.495 0.000
ATOMIC_POSITIONS crystal
Cd 0.000 0.000 0.000
Cd 0.000 0.000 0.500
Cd 0.000 0.500 0.000
Cd 0.500 0.000 0.000
Ag 0.000 0.500 0.500
Ag 0.500 0.000 0.500
Ag 0.500 0.500 0.000
Ag 0.500 0.500 0.500
S 0.125 0.125 0.125
S 0.875 0.875 0.875
F 0.158 0.158 0.592
F 0.158 0.592 0.158
F 0.158 0.592 0.592
F 0.408 0.408 0.842
F 0.408 0.842 0.408
F 0.408 0.842 0.842
F 0.592 0.158 0.158
F 0.592 0.158 0.592
F 0.592 0.592 0.158
F 0.842 0.408 0.408
F 0.842 0.408 0.842
F 0.842 0.842 0.408
```

Uncorrected energy in eV/atom: -3.345
SG: No. 227


(7)
The following is a DFT calculation (GGA-PBE) of a relaxed structure of ZrAg. Values from VASP.

Quantum ESPRESSO input file:
```
&SYSTEM
  ibrav = 0, nat = 8, ntyp = 2
/
ATOMIC_SPECIES
Zr 91.22 Zr.upf
Ag 107.87 Ag.upf
CELL_PARAMETERS angstrom
3.022 0.000 0.000
0.000 5.022 0.000
0.000 0.000 10.663
ATOMIC_POSITIONS crystal
Zr 0.250 0.250 0.049
Zr 0.250 0.750 0.219
Zr 0.750 0.250 0.781
Zr 0.750 0.750 0.951
Ag 0.250 0.250 0.535
Ag 0.250 0.750 0.694
Ag 0.750 0.250 0.306
Ag 0.750 0.750 0.465
```

Uncorrected energy in eV/atom: -5.701
E_form in eV per atom: -0.016
SG: No. 59


Among the records above, which one has the highest uncorrected energy? Li4ZnGaPd2